VASP calculation (GGA-PBE) on a geometry-optimized CsNaNbCl6 structure.

## Properties
spin magnetization = 1.00 μB/f.u.
electronic total energy = -74.64 eV for the cell shown

Cell and atoms, written as CIF:
```
data_CsNaNbCl6
_symmetry_space_group_name_H-M 'P -3 1 c'
_symmetry_Int_Tables_number 163
_symmetry_space_group_name_Hall '-P 3 2c'
_cell_length_a 7.0572
_cell_length_b 7.0572
_cell_length_c 14.9850
_cell_angle_alpha 90.00
_cell_angle_beta 90.00
_cell_angle_gamma 120.00
loop_
_atom_site_label
_atom_site_fract_x
_atom_site_fract_y
_atom_site_fract_z
Cs1 0.0000 0.0000 0.0000
Na1 0.3333 0.6667 0.2500
Nb1 0.3333 0.6667 0.7500
Cl1 0.0421 0.3948 0.6552
```

***

VASP calculation (GGA-PBE) on a geometry-optimized CsNa2NbCl8 structure.

## Properties
spin magnetization = 0.00 μB/f.u.
electronic total energy = -46.56 eV for the cell shown

Cell and atoms, written as CIF:
```
data_CsNa2NbCl8
_symmetry_space_group_name_H-M 'P -1'
_symmetry_Int_Tables_number 2
_cell_length_a 5.9424
_cell_length_b 7.7216
_cell_length_c 10.0980
_cell_angle_alpha 70.90
_cell_angle_beta 79.61
_cell_angle_gamma 89.65
loop_
_symmetry_equiv_pos_as_xyz
'x,y,z'
'-x,-y,-z'
loop_
_atom_site_label
_atom_site_fract_x
_atom_site_fract_y
_atom_site_fract_z
Cs1 0.0000 0.0000 0.0000
Na1 0.4387 0.4676 0.1860
Nb1 0.0000 0.5000 0.5000
Cl1 0.1293 0.4953 0.7146
Cl2 0.2389 0.2582 0.4788
Cl3 0.2949 0.7212 0.3563
Cl4 0.4873 0.2342 0.0440
```

***

VASP calculation (GGA-PBE) on a geometry-optimized CsNaNd2Cl8 structure.

## Properties
spin magnetization = 0.00 μB/f.u.
electronic total energy = -51.89 eV for the cell shown

Cell and atoms, written as CIF:
```
data_CsNaNd2Cl8
_symmetry_space_group_name_H-M 'P 1 2/m 1'
_symmetry_Int_Tables_number 10
_cell_length_a 7.0353
_cell_length_b 8.7349
_cell_length_c 7.1476
_cell_angle_alpha 90.00
_cell_angle_beta 95.01
_cell_angle_gamma 90.00
loop_
_symmetry_equiv_pos_as_xyz
'x,y,z'
'-x,-y,-z'
'-x,y,-z'
'x,-y,z'
loop_
_atom_site_label
_atom_site_fract_x
_atom_site_fract_y
_atom_site_fract_z
Cs1 0.0000 0.0000 0.0000
Na1 0.0000 0.5000 0.0000
Nd1 0.5000 0.2585 0.5000
Cl1 0.2455 0.2872 0.1974
Cl2 0.3032 0.5000 0.6550
Cl3 0.3110 0.0000 0.6373
```

***

- electronic total energy of number 3 (CsNaNd2Cl8)?
  -51.89 eV for the cell shown

***

Copy entry 1 word for word.
VASP calculation (GGA-PBE) on a geometry-optimized CsNaNbCl6 structure.

## Properties
spin magnetization = 1.00 μB/f.u.
electronic total energy = -74.64 eV for the cell shown

Cell and atoms, written as CIF:
```
data_CsNaNbCl6
_symmetry_space_group_name_H-M 'P -3 1 c'
_symmetry_Int_Tables_number 163
_symmetry_space_group_name_Hall '-P 3 2c'
_cell_length_a 7.0572
_cell_length_b 7.0572
_cell_length_c 14.9850
_cell_angle_alpha 90.00
_cell_angle_beta 90.00
_cell_angle_gamma 120.00
loop_
_atom_site_label
_atom_site_fract_x
_atom_site_fract_y
_atom_site_fract_z
Cs1 0.0000 0.0000 0.0000
Na1 0.3333 0.6667 0.2500
Nb1 0.3333 0.6667 0.7500
Cl1 0.0421 0.3948 0.6552
```